12
Lattice="-3.223 -3.162 -3.426 4.825 -2.695 -2.052 -2.442 -2.598 4.695" Properties=species:S:1:pos:R:3 comment="Tb2WC3 (PBE-GGA, optimized geometry)" formation_energy_kj_per_mol_atoms=-15.4 sg="Cmc2_1 (36)" energy_ev_per_atom=-8.473 pbc="T T T"
C -1.347 -5.967 -1.365
C -4.496 -5.816 0.327
C -2.954 -4.081 1.963
C -0.253 -3.235 -0.227
C 2.118 -4.148 -2.746
C 0.576 -5.883 -4.382
W -0.663 -1.414 -0.694
W -0.368 -7.230 -0.293
Tb -0.362 -4.172 2.113
Tb 2.074 -4.204 -0.149
Tb -2.731 -4.071 -0.440
Tb -0.295 -4.104 -2.701


16
Lattice="-2.110 2.226 4.162 5.533 -1.715 3.723 3.447 6.902 -1.943" Properties=species:S:1:pos:R:3 comment="Tb3WC4 (PBE-GGA, optimized geometry)" formation_energy_kj_per_mol_atoms=-6.3 sg="Pmn2_1 (31)" energy_ev_per_atom=-8.033 pbc="T T T"
C 4.287 4.983 -0.057
C 5.075 5.068 3.508
C -0.375 1.126 3.331
C 3.549 2.013 4.369
C 1.163 4.520 1.831
C 4.744 -1.361 3.581
C 2.367 1.137 1.026
C 5.977 2.356 2.683
W 0.931 -0.264 0.713
W 5.205 3.182 4.248
Tb 2.450 3.305 -0.202
Tb 4.468 0.679 2.231
Tb 1.517 2.397 3.027
Tb 3.539 -0.232 5.453
Tb 3.233 5.833 2.059
Tb 6.199 4.145 1.255


16
Lattice="-3.090 -1.020 -0.796 3.609 -4.874 -0.713 -1.889 -3.041 11.229" Properties=species:S:1:pos:R:3 comment="TbZr2WC4 (PBE-GGA, optimized geometry)" formation_energy_kj_per_mol_atoms=-30.5 sg="Cmcm (63)" energy_ev_per_atom=-9.263 pbc="T T T"
Zr -0.298 -6.913 10.019
Zr -1.071 -2.023 -0.299
Zr 0.515 -5.603 5.184
Zr -1.885 -3.332 4.537
W -1.532 -6.520 7.254
W 0.162 -2.415 2.466
C 0.347 -3.936 3.698
C 0.840 -3.143 0.770
C -2.209 -5.792 8.950
C -1.717 -4.999 6.022
C -1.795 -1.851 2.289
C -0.944 -1.520 5.614
C 0.425 -7.085 7.431
C 0.000 0.000 0.000
Tb -0.417 -5.445 1.548
Tb -0.953 -3.490 8.172


5
Lattice="-1.417 1.523 4.625 -1.994 -4.576 0.896 4.442 -1.568 1.877" Properties=species:S:1:pos:R:3 comment="TbY3C (PBE-GGA, optimized geometry)" formation_energy_kj_per_mol_atoms=-1.6 sg="Pm-3m (221)" energy_ev_per_atom=-6.666 pbc="T T T"
Y 2.221 -0.784 0.939
Y -0.708 0.761 2.313
Y -0.997 -2.288 0.448
C 0.000 0.000 0.000
Tb 0.516 -2.311 3.699


4
Lattice="-0.923 -3.395 -0.707 1.760 -1.850 -2.522 6.279 -4.702 5.276" Properties=species:S:1:pos:R:3 comment="Tb2YC (PBE-GGA, optimized geometry)" formation_energy_kj_per_mol_atoms=-12.7 sg="R-3m (166)" energy_ev_per_atom=-6.368 pbc="T T T"
Y 3.558 -4.974 1.023
Tb 5.947 -7.761 2.180
Tb 1.169 -2.187 -0.134
C 0.000 0.000 0.000


12
Lattice="-2.591 -4.132 4.013 3.010 -5.410 -3.627 3.527 3.072 5.441" Properties=species:S:1:pos:R:3 comment="Tb3YC2 (PBE-GGA, optimized geometry)" formation_energy_kj_per_mol_atoms=-23.7 sg="P-3m1 (164)" energy_ev_per_atom=-6.713 pbc="T T T"
C 3.268 -1.169 0.907
C 1.764 1.536 2.721
C 0.000 0.000 0.000
C 1.505 -2.705 -1.814
Tb 2.538 -4.886 -1.251
Tb 1.408 -1.583 7.078
Tb 4.301 -3.350 1.469
Tb 2.912 -4.288 5.265
Tb 1.033 -2.182 0.562
Tb -0.356 -3.119 4.358
Y 1.146 -5.829 2.548
Y 2.799 -0.641 3.278